Run i
Here is a relaxed MgScPdPt crystal from OQMD via LeMat-Bulk. Energies are from PBE-GGA.

Results
Crystal system ... cubic

a b c (Å): 6.4990 6.4990 6.4990
angles (deg): 90.00 90.00 90.00
Space group F-43m (No. 216)
Inequivalent atoms, fractional coordinates:
Mg1 0.0000 0.0000 0.0000 x4
Sc1 0.2500 0.2500 0.2500 x4
Pd1 0.0000 0.0000 0.5000 x4
Pt1 0.2500 0.2500 0.7500 x4


Run ii
Here is a relaxed MgScPdPt crystal from OQMD via LeMat-Bulk. Energies are from PBE-GGA.

Results
Crystal system ... cubic

a b c (Å): 6.4781 6.4781 6.4781
angles (deg): 90.00 90.00 90.00
Space group F-43m (No. 216)
Inequivalent atoms, fractional coordinates:
Mg1 0.0000 0.0000 0.0000 x4
Sc1 0.0000 0.0000 0.5000 x4
Pd1 0.2500 0.2500 0.2500 x4
Pt1 0.2500 0.2500 0.7500 x4


Of them, the most stable is run ii and the least stable is run i.